[1]
First-principles (PBE) data for a geometry-optimized Ba2ScW structure, as listed in the Alexandria database.

The formation energy comes out at 1224 meV per atom. The energy relative to the lowest polymorph listed for this composition comes out at 0.535 eV/atom.

The space group is P4/mmm (No. 123) and the conventional cell measures 3.747, 3.747 and 9.622 Å, with angles of 90.00, 90.00 and 90.00 degrees. The inequivalent atoms are Ba at (0.000, 0.000, 0.217), Sc at (0.500, 0.500, 0.500) and W at (0.500, 0.500, 0.000).


[2]
First-principles (PBE) data for a geometry-optimized ScBeSe4 structure, as listed in the Alexandria database.

The value obtained for the uncorrected formation energy is 487 meV/atom.

The space group is F-43m (No. 216) and the conventional cell measures 7.984, 7.984 and 7.984 Å, with angles of 90.00, 90.00 and 90.00 degrees. The inequivalent atoms are Sc at (0.000, 0.000, 0.000), Be at (0.250, 0.250, 0.250) and Se at (0.125, 0.125, 0.625).


[3]
First-principles (PBE) data for a geometry-optimized SrCo3Mo structure, as listed in the Alexandria database.

The formation energy comes out at 837 meV per atom. The energy relative to the lowest polymorph listed for this composition comes out at 0.000 eV/atom.

The space group is Pm-3m (No. 221) and the conventional cell measures 4.587, 4.587 and 4.587 Å, with angles of 90.00, 90.00 and 90.00 degrees. The inequivalent atoms are Sr at (0.000, 0.000, 0.000), Co at (0.000, 0.500, 0.500) and Mo at (0.500, 0.500, 0.500).


[4]
First-principles (PBE) data for a geometry-optimized InGePd5 structure, as listed in the Alexandria database.

The formation energy comes out at -361 meV per atom.

The space group is C2/c (No. 15) and the conventional cell measures 7.094, 7.450 and 9.332 Å, with angles of 90.00, 110.22 and 90.00 degrees. The inequivalent atoms are In at (0.000, 0.010, 0.250), Ge at (0.000, 0.500, 0.000), Pd at (0.000, 0.367, 0.250), Pd at (0.105, 0.173, 0.542) and Pd at (0.206, 0.315, 0.851).


[5]
First-principles (PBE) data for a geometry-optimized TbPmPaIn structure, as listed in the Alexandria database.

The formation energy comes out at 125 meV per atom.

The space group is F-43m (No. 216) and the conventional cell measures 7.629, 7.629 and 7.629 Å, with angles of 90.00, 90.00 and 90.00 degrees. The inequivalent atoms are Tb at (0.000, 0.000, 0.000), Pm at (0.000, 0.000, 0.500), Pa at (0.250, 0.250, 0.750) and In at (0.250, 0.250, 0.250).


[6]
First-principles (PBE) data for a geometry-optimized Hg2GeS structure, as listed in the Alexandria database.

The value obtained for the uncorrected formation energy is -103 meV/atom. The energy relative to the lowest polymorph listed for this composition comes out at 0.000 eV/atom.

The space group is P1 (No. 1) and the conventional cell measures 3.491, 3.491 and 10.875 Å, with angles of 82.35, 80.85 and 60.02 degrees. The inequivalent atoms are Hg at (0.000, 0.000, 0.000), Hg at (0.438, 0.403, 0.722), Ge at (0.559, 0.603, 0.282) and S at (0.843, 0.908, 0.409).


[7]
First-principles (PBE) data for a geometry-optimized YErAg structure, as listed in the Alexandria database.

The formation energy comes out at -64 meV per atom. The energy relative to the lowest polymorph listed for this composition comes out at 0.155 eV/atom.

The space group is Cm (No. 8) and the conventional cell measures 8.829, 5.100 and 7.900 Å, with angles of 90.00, 111.96 and 90.00 degrees. The inequivalent atoms are Y at (0.000, 0.000, 0.000), Y at (0.166, 0.000, 0.497), Er at (0.084, 0.500, 0.753), Er at (0.420, 0.000, 0.259), Ag at (0.225, 0.500, 0.173) and Ag at (0.360, 0.500, 0.582).


[8]
First-principles (PBE) data for a geometry-optimized CsBaHg4Sb2 structure, as listed in the Alexandria database.

The value obtained for the uncorrected formation energy is -331 meV/atom.

The space group is P4/mmm (No. 123) and the conventional cell measures 4.790, 4.790 and 13.444 Å, with angles of 90.00, 90.00 and 90.00 degrees. The inequivalent atoms are Cs at (0.000, 0.000, 0.000), Ba at (0.000, 0.000, 0.500), Hg at (0.000, 0.500, 0.224) and Sb at (0.500, 0.500, 0.394).


[9]
First-principles (PBE) data for a geometry-optimized Ba2CuIrSe structure, as listed in the Alexandria database.

The value obtained for the uncorrected formation energy is -380 meV/atom. The energy relative to the lowest polymorph listed for this composition comes out at 0.000 eV/atom.

The space group is P4/mmm (No. 123) and the conventional cell measures 5.989, 5.989 and 4.632 Å, with angles of 90.00, 90.00 and 90.00 degrees. The inequivalent atoms are Ba at (0.000, 0.500, 0.000), Cu at (0.000, 0.000, 0.500), Ir at (0.000, 0.000, 0.000) and Se at (0.500, 0.500, 0.500).


[10]
First-principles (PBE) data for a geometry-optimized La8InRh2 structure, as listed in the Alexandria database.

The formation energy comes out at -348 meV per atom.

The space group is C2/m (No. 12) and the conventional cell measures 8.881, 14.340 and 5.697 Å, with angles of 90.00, 104.58 and 90.00 degrees. The inequivalent atoms are La at (0.000, 0.248, 0.000), La at (0.099, 0.500, 0.803), La at (0.208, 0.122, 0.556), In at (0.000, 0.000, 0.000) and Rh at (0.000, 0.285, 0.500).


[11]
First-principles (PBE) data for a geometry-optimized CsSb3I structure, as listed in the Alexandria database.

The value obtained for the uncorrected formation energy is 543 meV/atom. The energy relative to the lowest polymorph listed for this composition comes out at 0.000 eV/atom.

The space group is Pm-3m (No. 221) and the conventional cell measures 6.008, 6.008 and 6.008 Å, with angles of 90.00, 90.00 and 90.00 degrees. The inequivalent atoms are Cs at (0.000, 0.000, 0.000), Sb at (0.000, 0.500, 0.500) and I at (0.500, 0.500, 0.500).


[12]
First-principles (PBE) data for a geometry-optimized MgZnCr2Tc structure, as listed in the Alexandria database.

The formation energy comes out at 2065 meV per atom.

The space group is P4/mmm (No. 123) and the conventional cell measures 4.344, 4.344 and 4.266 Å, with angles of 90.00, 90.00 and 90.00 degrees. The inequivalent atoms are Mg at (0.000, 0.000, 0.000), Zn at (0.000, 0.000, 0.500), Cr at (0.000, 0.500, 0.000) and Tc at (0.500, 0.500, 0.500).


[13]
First-principles (PBE) data for a geometry-optimized Rb3AlPd structure, as listed in the Alexandria database.

The formation energy comes out at 480 meV per atom. The energy relative to the lowest polymorph listed for this composition comes out at 0.000 eV/atom.

The space group is Pm-3m (No. 221) and the conventional cell measures 6.455, 6.455 and 6.455 Å, with angles of 90.00, 90.00 and 90.00 degrees. The inequivalent atoms are Rb at (0.000, 0.000, 0.500), Al at (0.500, 0.500, 0.500) and Pd at (0.000, 0.000, 0.000).


[14]
First-principles (PBE) data for a geometry-optimized LiSm2Dy structure, as listed in the Alexandria database.

The formation energy comes out at 67 meV per atom. The energy relative to the lowest polymorph listed for this composition comes out at 0.000 eV/atom.

The space group is P4/mmm (No. 123) and the conventional cell measures 3.638, 3.638 and 9.030 Å, with angles of 90.00, 90.00 and 90.00 degrees. The inequivalent atoms are Li at (0.000, 0.000, 0.000), Sm at (0.500, 0.500, 0.227) and Dy at (0.000, 0.000, 0.500).


[15]
First-principles (PBE) data for a geometry-optimized CaAsP2S structure, as listed in the Alexandria database.

The value obtained for the uncorrected formation energy is 43 meV/atom. The energy relative to the lowest polymorph listed for this composition comes out at 0.000 eV/atom.

The space group is P4/mmm (No. 123) and the conventional cell measures 4.723, 4.723 and 5.000 Å, with angles of 90.00, 90.00 and 90.00 degrees. The inequivalent atoms are Ca at (0.000, 0.000, 0.000), As at (0.500, 0.500, 0.500), P at (0.000, 0.500, 0.500) and S at (0.500, 0.500, 0.000).


[16]
First-principles (PBE) data for a geometry-optimized Ti2V2Sb structure, as listed in the Alexandria database.

The value obtained for the uncorrected formation energy is 86 meV/atom. The energy relative to the lowest polymorph listed for this composition comes out at 0.111 eV/atom.

The space group is Cmmm (No. 65) and the conventional cell measures 4.909, 6.378 and 5.666 Å, with angles of 90.00, 90.00 and 90.00 degrees. The inequivalent atoms are Ti at (0.000, 0.000, 0.235), V at (0.000, 0.343, 0.000) and Sb at (0.000, 0.500, 0.500).


[17]
First-principles (PBE) data for a geometry-optimized MgNpAu4 structure, as listed in the Alexandria database.

The formation energy comes out at -306 meV per atom. The energy relative to the lowest polymorph listed for this composition comes out at 0.000 eV/atom.

The space group is C2/m (No. 12) and the conventional cell measures 10.081, 3.091 and 8.202 Å, with angles of 90.00, 112.83 and 90.00 degrees. The inequivalent atoms are Mg at (0.000, 0.000, 0.000), Np at (0.000, 0.000, 0.500), Au at (0.159, 0.500, 0.847) and Au at (0.166, 0.500, 0.311).


[18]
First-principles (PBE) data for a geometry-optimized RbAsPS2 structure, as listed in the Alexandria database.

The value obtained for the uncorrected formation energy is 153 meV/atom. The energy relative to the lowest polymorph listed for this composition comes out at 0.000 eV/atom.

The space group is P4/mmm (No. 123) and the conventional cell measures 5.068, 5.068 and 4.849 Å, with angles of 90.00, 90.00 and 90.00 degrees. The inequivalent atoms are Rb at (0.000, 0.000, 0.000), As at (0.500, 0.500, 0.500), P at (0.500, 0.500, 0.000) and S at (0.000, 0.500, 0.500).


[19]
First-principles (PBE) data for a geometry-optimized Ho2TmTe3 structure, as listed in the Alexandria database.

The value obtained for the uncorrected formation energy is -1247 meV/atom. The energy relative to the lowest polymorph listed for this composition comes out at 0.000 eV/atom.

The space group is R-3c (No. 167, hexagonal axes) and the conventional cell measures 7.1932, 7.1932 and 23.1182 Å, with angles of 90.00, 90.00 and 120.00 degrees. The inequivalent atoms are Ho at (0.0000, 0.0000, 0.1670), Tm at (0.0000, 0.0000, 0.0000) and Te at (0.0000, 0.3351, 0.2500).


[20]
First-principles (PBE) data for a geometry-optimized P2RhPb structure, as listed in the Alexandria database.

The formation energy comes out at 71 meV per atom.

The space group is P4mm (No. 99) and the conventional cell measures 3.149, 3.149 and 7.534 Å, with angles of 90.00, 90.00 and 90.00 degrees. The inequivalent atoms are P at (0.000, 0.000, 0.000), P at (0.500, 0.500, 0.157), Rh at (0.500, 0.500, 0.837) and Pb at (0.000, 0.000, 0.549).


What did we get for total moment? Answer: 0.311, 0.000, 0.375, 0.000, 0.000, 0.000, 0.000, 0.000, 0.000, 0.000, 0.000, 0.000, 0.403, 0.000, 0.000, 0.000, 0.727, 0.250, 0.000, 0.000 μB per atom, in the order shown.